1.
VASP calculation (GGA-PBE) on a relaxed CaTbRhAu crystal.

abc: 4.2910 3.8923 11.1245
angles: 90.00 90.00 90.00
Closest atoms and distances in Å follow each position.
Sites, in units of the cell vectors:
Ca (0.0000, 0.0000, 0.0000)  3 Rh 2.95-3.25, 4 Au 2.99
Ca (0.0000, 0.5000, 0.5000)  3 Rh 2.95-3.25, 4 Au 2.99
Tb (0.5000, 0.0000, 0.7159)  4 Rh 2.95, 3 Au 3.11-3.13
Tb (0.5000, 0.5000, 0.2159)  4 Rh 2.95, 3 Au 3.11-3.13
Rh (0.0000, 0.0000, 0.2656)  2 Au 2.85, 4 Tb 2.95, 1 Ca 2.95
Rh (0.0000, 0.5000, 0.7656)  2 Au 2.85, 4 Tb 2.95, 1 Ca 2.95
Au (0.5000, 0.0000, 0.4345)  2 Rh 2.85, 4 Ca 2.99, 3 Tb 3.11-3.13
Au (0.5000, 0.5000, 0.9345)  2 Rh 2.85, 4 Ca 2.99, 3 Tb 3.11-3.13

2.
VASP calculation (GGA-PBE) on a relaxed CaTbRhAu crystal.

abc: 7.0374 7.0374 7.0374
angles: 90.00 90.00 90.00
Closest atoms and distances in Å follow each position.
Sites, in units of the cell vectors:
Ca (0.0000, 0.0000, 0.0000)  4 Rh 3.05, 4 Au 3.05
Ca (0.0000, 0.5000, 0.5000)  4 Rh 3.05, 4 Au 3.05
Ca (0.5000, 0.0000, 0.5000)  4 Rh 3.05, 4 Au 3.05
Ca (0.5000, 0.5000, 0.0000)  4 Rh 3.05, 4 Au 3.05
Tb (0.0000, 0.0000, 0.5000)  4 Rh 3.05, 4 Au 3.05
Tb (0.0000, 0.5000, 0.0000)  4 Rh 3.05, 4 Au 3.05
Tb (0.5000, 0.0000, 0.0000)  4 Rh 3.05, 4 Au 3.05
Tb (0.5000, 0.5000, 0.5000)  4 Rh 3.05, 4 Au 3.05
Rh (0.2500, 0.2500, 0.2500)  4 Tb 3.05, 4 Ca 3.05
Rh (0.2500, 0.7500, 0.7500)  4 Tb 3.05, 4 Ca 3.05
Rh (0.7500, 0.2500, 0.7500)  4 Tb 3.05, 4 Ca 3.05
Rh (0.7500, 0.7500, 0.2500)  4 Tb 3.05, 4 Ca 3.05
Au (0.2500, 0.2500, 0.7500)  4 Tb 3.05, 4 Ca 3.05
Au (0.2500, 0.7500, 0.2500)  4 Tb 3.05, 4 Ca 3.05
Au (0.7500, 0.2500, 0.2500)  4 Tb 3.05, 4 Ca 3.05
Au (0.7500, 0.7500, 0.7500)  4 Tb 3.05, 4 Ca 3.05

3.
VASP calculation (GGA-PBE) on a relaxed CaThRhAu crystal.

abc: 4.2316 3.9195 11.6616
angles: 90.00 90.00 90.00
Closest atoms and distances in Å follow each position.
Sites, in units of the cell vectors:
Ca (0.0000, 0.0000, 0.0000)  4 Au 2.97, 1 Rh 3.00
Ca (0.0000, 0.5000, 0.5000)  4 Au 2.97, 1 Rh 3.00
Th (0.5000, 0.0000, 0.7218)  4 Rh 2.91, 2 Au 3.20
Th (0.5000, 0.5000, 0.2218)  4 Rh 2.91, 2 Au 3.20
Rh (0.0000, 0.0000, 0.2575)  4 Th 2.91, 2 Au 2.99, 1 Ca 3.00
Rh (0.0000, 0.5000, 0.7575)  4 Th 2.91, 2 Au 2.99, 1 Ca 3.00
Au (0.5000, 0.0000, 0.4385)  4 Ca 2.97, 2 Rh 2.99, 3 Th 3.20-3.30
Au (0.5000, 0.5000, 0.9385)  4 Ca 2.97, 2 Rh 2.99, 3 Th 3.20-3.30

4.
VASP calculation (GGA-PBE) on a relaxed CaThRhAu crystal.

abc: 7.1878 7.1878 7.1878
angles: 90.00 90.00 90.00
Closest atoms and distances in Å follow each position.
Sites, in units of the cell vectors:
Ca (0.0000, 0.0000, 0.0000)  4 Rh 3.11, 4 Au 3.11
Ca (0.0000, 0.5000, 0.5000)  4 Rh 3.11, 4 Au 3.11
Ca (0.5000, 0.0000, 0.5000)  4 Rh 3.11, 4 Au 3.11
Ca (0.5000, 0.5000, 0.0000)  4 Rh 3.11, 4 Au 3.11
Th (0.0000, 0.0000, 0.5000)  4 Rh 3.11, 4 Au 3.11
Th (0.0000, 0.5000, 0.0000)  4 Rh 3.11, 4 Au 3.11
Th (0.5000, 0.0000, 0.0000)  4 Rh 3.11, 4 Au 3.11
Th (0.5000, 0.5000, 0.5000)  4 Au 3.11, 4 Rh 3.11
Rh (0.2500, 0.2500, 0.2500)  4 Th 3.11, 4 Ca 3.11
Rh (0.2500, 0.7500, 0.7500)  4 Th 3.11, 4 Ca 3.11
Rh (0.7500, 0.2500, 0.7500)  4 Th 3.11, 4 Ca 3.11
Rh (0.7500, 0.7500, 0.2500)  4 Th 3.11, 4 Ca 3.11
Au (0.2500, 0.2500, 0.7500)  4 Th 3.11, 4 Ca 3.11
Au (0.2500, 0.7500, 0.2500)  4 Th 3.11, 4 Ca 3.11
Au (0.7500, 0.2500, 0.2500)  4 Th 3.11, 4 Ca 3.11
Au (0.7500, 0.7500, 0.7500)  4 Th 3.11, 4 Ca 3.11

5.
VASP calculation (GGA-PBE) on a relaxed CaTmRhAu crystal.

abc: 6.9702 6.9702 6.9702
angles: 90.00 90.00 90.00
Closest atoms and distances in Å follow each position.
Sites, in units of the cell vectors:
Ca (0.0000, 0.0000, 0.0000)  4 Rh 3.02, 4 Au 3.02
Ca (0.0000, 0.5000, 0.5000)  4 Rh 3.02, 4 Au 3.02
Ca (0.5000, 0.0000, 0.5000)  4 Rh 3.02, 4 Au 3.02
Ca (0.5000, 0.5000, 0.0000)  4 Rh 3.02, 4 Au 3.02
Tm (0.0000, 0.0000, 0.5000)  4 Rh 3.02, 4 Au 3.02
Tm (0.0000, 0.5000, 0.0000)  4 Rh 3.02, 4 Au 3.02
Tm (0.5000, 0.0000, 0.0000)  4 Rh 3.02, 4 Au 3.02
Tm (0.5000, 0.5000, 0.5000)  4 Rh 3.02, 4 Au 3.02
Rh (0.2500, 0.2500, 0.2500)  4 Tm 3.02, 4 Ca 3.02
Rh (0.2500, 0.7500, 0.7500)  4 Ca 3.02, 4 Tm 3.02
Rh (0.7500, 0.2500, 0.7500)  4 Ca 3.02, 4 Tm 3.02
Rh (0.7500, 0.7500, 0.2500)  4 Ca 3.02, 4 Tm 3.02
Au (0.2500, 0.2500, 0.7500)  4 Ca 3.02, 4 Tm 3.02
Au (0.2500, 0.7500, 0.2500)  4 Ca 3.02, 4 Tm 3.02
Au (0.7500, 0.2500, 0.2500)  4 Ca 3.02, 4 Tm 3.02
Au (0.7500, 0.7500, 0.7500)  4 Ca 3.02, 4 Tm 3.02

6.
VASP calculation (GGA-PBE) on a relaxed CaYRhAu crystal.

abc: 4.2987 3.8973 11.0935
angles: 90.00 90.00 90.00
Closest atoms and distances in Å follow each position.
Sites, in units of the cell vectors:
Ca (0.0000, 0.0000, 0.0000)  3 Rh 2.96-3.24, 4 Au 2.99
Ca (0.0000, 0.5000, 0.5000)  3 Rh 2.96-3.24, 4 Au 2.99
Y (0.5000, 0.0000, 0.7152)  4 Rh 2.96, 3 Au 3.12
Y (0.5000, 0.5000, 0.2152)  4 Rh 2.96, 3 Au 3.12
Rh (0.0000, 0.0000, 0.2665)  2 Au 2.84, 4 Y 2.96, 1 Ca 2.96
Rh (0.0000, 0.5000, 0.7665)  2 Au 2.84, 4 Y 2.96, 1 Ca 2.96
Au (0.5000, 0.0000, 0.4344)  2 Rh 2.84, 4 Ca 2.99, 3 Y 3.12
Au (0.5000, 0.5000, 0.9344)  2 Rh 2.84, 4 Ca 2.99, 3 Y 3.12

7.
VASP calculation (GGA-PBE) on a relaxed Ca2Zn3RhAu12 crystal.

abc: 10.0215 10.0215 10.0215
angles: 41.01 41.01 41.01
Closest atoms and distances in Å follow each position.
Sites, in units of the cell vectors:
Ca (0.1471, 0.1471, 0.1471)  6 Au 3.07-3.22
Ca (0.8529, 0.8529, 0.8529)  6 Au 3.07-3.22
Zn (0.0000, 0.5000, 0.5000)  6 Au 2.59-2.86
Zn (0.5000, 0.0000, 0.5000)  6 Au 2.59-2.86
Zn (0.5000, 0.5000, 0.0000)  6 Au 2.59-2.86
Rh (0.5000, 0.5000, 0.5000)  6 Au 2.62
Au (0.0876, 0.0876, 0.6866)  2 Zn 2.59, 4 Au 2.78-2.82
Au (0.0876, 0.6866, 0.0876)  2 Zn 2.59, 4 Au 2.78-2.82
Au (0.1129, 0.5995, 0.5995)  1 Rh 2.62, 2 Au 2.78, 1 Zn 2.86
Au (0.3134, 0.9124, 0.9124)  2 Zn 2.59, 4 Au 2.78-2.82
Au (0.4005, 0.4005, 0.8871)  1 Rh 2.62, 2 Au 2.78, 1 Zn 2.86
Au (0.4005, 0.8871, 0.4005)  1 Rh 2.62, 2 Au 2.78, 1 Zn 2.86
Au (0.5995, 0.1129, 0.5995)  1 Rh 2.62, 2 Au 2.78, 1 Zn 2.86
Au (0.5995, 0.5995, 0.1129)  1 Rh 2.62, 2 Au 2.78, 1 Zn 2.86
Au (0.6866, 0.0876, 0.0876)  2 Zn 2.59, 4 Au 2.78-2.82
Au (0.8871, 0.4005, 0.4005)  1 Rh 2.62, 2 Au 2.78, 1 Zn 2.86
Au (0.9124, 0.3134, 0.9124)  2 Zn 2.59, 4 Au 2.78-2.82
Au (0.9124, 0.9124, 0.3134)  2 Zn 2.59, 4 Au 2.78-2.82

8.
VASP calculation (GGA-PBE) on a relaxed CaZrRh2Au crystal.

abc: 5.0199 5.0199 4.8292
angles: 90.00 90.00 90.00
Closest atoms and distances in Å follow each position.
Sites, in units of the cell vectors:
Ca (0.0000, 0.0000, 0.0000)  2 Au 2.41
Zr (0.5000, 0.5000, 0.0000)  8 Rh 3.48, 4 Ca 3.55
Rh (0.0000, 0.5000, 0.5000)  2 Au 2.51
Rh (0.5000, 0.0000, 0.5000)  2 Au 2.51
Au (0.0000, 0.0000, 0.5000)  2 Ca 2.41, 4 Rh 2.51

9.
VASP calculation (GGA-PBE) on a relaxed CaZrRhAu crystal.

abc: 6.8597 6.8597 6.8597
angles: 90.00 90.00 90.00
Closest atoms and distances in Å follow each position.
Sites, in units of the cell vectors:
Ca (0.0000, 0.0000, 0.0000)  4 Rh 2.97, 4 Au 2.97
Ca (0.0000, 0.5000, 0.5000)  4 Rh 2.97, 4 Au 2.97
Ca (0.5000, 0.0000, 0.5000)  4 Rh 2.97, 4 Au 2.97
Ca (0.5000, 0.5000, 0.0000)  4 Rh 2.97, 4 Au 2.97
Zr (0.0000, 0.0000, 0.5000)  4 Rh 2.97, 4 Au 2.97
Zr (0.0000, 0.5000, 0.0000)  4 Rh 2.97, 4 Au 2.97
Zr (0.5000, 0.0000, 0.0000)  4 Rh 2.97, 4 Au 2.97
Zr (0.5000, 0.5000, 0.5000)  4 Au 2.97, 4 Rh 2.97
Rh (0.2500, 0.2500, 0.2500)  4 Zr 2.97, 4 Ca 2.97
Rh (0.2500, 0.7500, 0.7500)  4 Zr 2.97, 4 Ca 2.97
Rh (0.7500, 0.2500, 0.7500)  4 Zr 2.97, 4 Ca 2.97
Rh (0.7500, 0.7500, 0.2500)  4 Zr 2.97, 4 Ca 2.97
Au (0.2500, 0.2500, 0.7500)  4 Zr 2.97, 4 Ca 2.97
Au (0.2500, 0.7500, 0.2500)  4 Zr 2.97, 4 Ca 2.97
Au (0.7500, 0.2500, 0.2500)  4 Zr 2.97, 4 Ca 2.97
Au (0.7500, 0.7500, 0.7500)  4 Zr 2.97, 4 Ca 2.97

10.
VASP calculation (GGA-PBE) on a relaxed Ca2RuAu crystal.

abc: 6.9622 6.9622 6.9622
angles: 90.00 90.00 90.00
Closest atoms and distances in Å follow each position.
Sites, in units of the cell vectors:
Ca (0.0000, 0.0000, 0.0000)  4 Ca 3.01, 4 Ru 3.01
Ca (0.0000, 0.5000, 0.5000)  4 Ca 3.01, 4 Ru 3.01
Ca (0.2500, 0.2500, 0.2500)  4 Au 3.01, 4 Ca 3.01
Ca (0.2500, 0.7500, 0.7500)  4 Ca 3.01, 4 Au 3.01
Ca (0.5000, 0.0000, 0.5000)  4 Ca 3.01, 4 Ru 3.01
Ca (0.5000, 0.5000, 0.0000)  4 Ca 3.01, 4 Ru 3.01
Ca (0.7500, 0.2500, 0.7500)  4 Ca 3.01, 4 Au 3.01
Ca (0.7500, 0.7500, 0.2500)  4 Au 3.01, 4 Ca 3.01
Ru (0.2500, 0.2500, 0.7500)  4 Ca 3.01, 4 Au 3.01
Ru (0.2500, 0.7500, 0.2500)  4 Ca 3.01, 4 Au 3.01
Ru (0.7500, 0.2500, 0.2500)  4 Ca 3.01, 4 Au 3.01
Ru (0.7500, 0.7500, 0.7500)  4 Ca 3.01, 4 Au 3.01
Au (0.0000, 0.0000, 0.5000)  4 Ru 3.01, 4 Ca 3.01
Au (0.0000, 0.5000, 0.0000)  4 Ru 3.01, 4 Ca 3.01
Au (0.5000, 0.0000, 0.0000)  4 Ru 3.01, 4 Ca 3.01
Au (0.5000, 0.5000, 0.5000)  4 Ru 3.01, 4 Ca 3.01

11.
VASP calculation (GGA-PBE) on a relaxed Ca2RuAu crystal.

abc: 11.1483 3.3286 5.0780
angles: 90.00 107.56 90.00
Closest atoms and distances in Å follow each position.
Sites, in units of the cell vectors:
Ca (0.0000, 0.0000, 0.0000)  4 Ru 3.04-3.11, 3 Au 3.08-3.21, 4 Ca 3.33-3.34
Ca (0.2040, 0.0000, 0.6367)  4 Au 3.08-3.10, 3 Ru 3.12-3.14, 4 Ca 3.33-3.34
Ca (0.5000, 0.5000, 0.0000)  4 Ru 3.04-3.11, 3 Au 3.08-3.21, 4 Ca 3.33-3.34
Ca (0.7040, 0.5000, 0.6367)  4 Au 3.08-3.10, 3 Ru 3.12-3.14, 4 Ca 3.33-3.34
Ru (0.4539, 0.0000, 0.4783)  2 Au 2.80, 7 Ca 3.04-3.14
Ru (0.9539, 0.5000, 0.4783)  2 Au 2.80, 7 Ca 3.04-3.14
Au (0.2587, 0.5000, 0.1758)  2 Ru 2.80, 5 Ca 3.08-3.10
Au (0.7587, 0.0000, 0.1758)  2 Ru 2.80, 5 Ca 3.08-3.10

12.
VASP calculation (GGA-PBE) on a relaxed Ca2RuAu crystal.

abc: 3.5972 3.5972 6.7533
angles: 90.00 90.00 90.00
Closest atoms and distances in Å follow each position.
Sites, in units of the cell vectors:
Ca (0.0000, 0.0000, 0.2340)  4 Ru 2.99, 4 Au 3.11, 1 Ca 3.16
Ca (0.0000, 0.0000, 0.7660)  4 Ru 2.99, 4 Au 3.11, 1 Ca 3.16
Ru (0.5000, 0.5000, 0.0000)  8 Ca 2.99
Au (0.5000, 0.5000, 0.5000)  8 Ca 3.11, 2 Ru 3.38

| no. | calculated volume (Å³/cell) | formation energy (eV/atom) |
| --- | --- | --- |
| 1 | 186 | -0.728 |
| 2 | 349 | -0.694 |
| 3 | 193 | -0.784 |
| 4 | 371 | -0.631 |
| 5 | 339 | -0.711 |
| 6 | 186 | -0.720 |
| 7 | 391 | -0.113 |
| 8 | 122 | 0.825 |
| 9 | 323 | -0.502 |
| 10 | 337 | 0.082 |
| 11 | 180 | -0.082 |
| 12 | 87 | -0.160 |